Crystalline Tm3In3CuAu2 at its relaxed geometry. Source: the Open Quantum Materials Database, functional PBE.

a b c (Å): 7.7137 7.7137 3.8177
angles (deg): 90.00 90.00 120.00
Closest atoms and distances in Å follow each position.
Fractional positions:
Au 0.6667 0.3333 0.5000  3 In 2.94, 6 Tm 3.02
Au 0.3333 0.6667 0.5000  3 In 2.94, 6 Tm 3.02
Cu 0.0000 0.0000 0.0000  6 In 2.72
In 0.7494 0.0000 0.5000  2 Cu 2.72, 2 Au 2.94
In 0.2506 0.2506 0.5000  2 Cu 2.72, 2 Au 2.94
In 0.0000 0.7494 0.5000  2 Cu 2.72, 2 Au 2.94
Tm 0.4050 0.0000 0.0000  4 Au 3.02, 1 Cu 3.12, 6 In 3.27-3.33
Tm 0.0000 0.4050 0.0000  4 Au 3.02, 1 Cu 3.12, 6 In 3.27-3.33
Tm 0.5950 0.5950 0.0000  4 Au 3.02, 1 Cu 3.12, 6 In 3.27-3.33

Output
DFT total energy ... -4.200 eV/atom

Crystalline InCuWAu at its relaxed geometry. Source: the Open Quantum Materials Database, functional PBE.

a b c (Å): 4.6000 4.6000 4.6000
angles (deg): 60.00 60.00 60.00
Closest atoms and distances in Å follow each position.
Fractional positions:
Au 0.5000 0.5000 0.5000  4 W 2.82, 4 Cu 2.82
Cu 0.7500 0.7500 0.7500  4 Au 2.82, 4 In 2.82
In 0.0000 0.0000 0.0000  4 W 2.82, 4 Cu 2.82
W 0.2500 0.2500 0.2500  4 Au 2.82, 4 In 2.82

Output
DFT total energy ... -5.064 eV/atom
Relative energy among the computed polymorphs ... 16 meV per atom

| no. | density (g cm⁻³) | total magnetization (μB per formula unit) |
| --- | --- | --- |
| 1 | 11.0 | 0.0 |
| 2 | 13.5 | 1.8 |